[1]
MnTl2AsSe4: optimized geometry, PBE.

As for the uncorrected energy: -4.34 eV/atom. As for the density of states at the Fermi level: 6.252 states/eV/cell. Its space-group type is Imma.

Unit cell a=8.250 b=8.250 c=8.168 alpha=119.67 beta=119.67 gamma=90.06
Element x y z (fractional)
Mn1 0.000 0.500 0.000
Mn2 0.000 0.500 0.500
Tl1 0.500 0.000 0.000
Tl2 0.500 0.000 0.500
Tl3 0.000 0.000 0.500
Tl4 0.500 0.500 0.000
As1 0.500 0.500 0.500
As2 0.000 0.000 0.000
Se1 0.196 0.724 0.960
Se2 0.776 0.304 0.540
Se3 0.224 0.696 0.460
Se4 0.804 0.276 0.040
Se5 0.770 0.730 0.972
Se6 0.770 0.730 0.528
Se7 0.230 0.270 0.472
Se8 0.230 0.270 0.028

---

[2]
Y2ZrTiCu: optimized geometry, PBE.

As for the uncorrected energy: -6.15 eV/atom. The energy relative to the elements is 0.548 eV per atom. As for the density of states at the Fermi level: 10.318 states/eV/cell. Its space-group type is P4/mmm.

Unit cell a=5.230 b=5.039 c=5.230 alpha=90.00 beta=90.00 gamma=90.00
Element x y z (fractional)
Y1 0.000 0.000 0.500
Y2 0.500 0.000 0.000
Cu1 0.000 0.000 0.000
Zr1 0.000 0.500 0.000
Ti1 0.500 0.500 0.500

---

[3]
Sc2US5: optimized geometry, PBE.

As for the uncorrected energy: -6.91 eV/atom. As for the density of states at the Fermi level: 4.355 states/eV/cell. Its space-group type is Fmmm.

Unit cell a=5.186 b=6.823 c=7.062 alpha=81.96 beta=68.43 gamma=67.67
Element x y z (fractional)
Sc1 0.811 0.500 0.879
Sc2 0.189 0.500 0.121
U1 0.500 0.500 0.500
S1 0.214 0.749 0.823
S2 0.537 0.749 0.177
S3 0.000 0.500 0.500
S4 0.786 0.251 0.177
S5 0.463 0.251 0.823

---

[4]
Sr2ErMnSe5: optimized geometry, PBE.

As for the uncorrected energy: -5.37 eV/atom. As for the density of states at the Fermi level: 5.837 states/eV/cell. Its space-group type is Cmc2_1.

Unit cell a=4.149 b=9.407 c=12.843 alpha=90.00 beta=90.00 gamma=102.74
Element x y z (fractional)
Sr1 0.879 0.757 0.832
Sr2 0.123 0.245 0.687
Sr3 0.121 0.243 0.332
Sr4 0.877 0.755 0.187
Er1 0.799 0.598 0.529
Er2 0.201 0.402 0.029
Mn1 0.558 0.116 0.929
Mn2 0.442 0.884 0.429
Se1 0.350 0.701 0.009
Se2 0.686 0.372 0.871
Se3 0.501 0.002 0.763
Se4 0.300 0.600 0.677
Se5 0.961 0.922 0.527
Se6 0.650 0.299 0.509
Se7 0.314 0.628 0.371
Se8 0.499 0.998 0.263
Se9 0.700 0.400 0.177
Se10 0.039 0.078 0.027